Computed, not measured: a relaxed structure of Ca2As2Au at the GGA-PBE level of DFT.

Unit cell a=6.067 b=6.067 c=10.800 alpha=112.75 beta=112.75 gamma=41.85
Element x y z (fractional)
Ca1 0.083 0.083 0.402
Ca2 0.307 0.307 0.838
Ca3 0.693 0.693 0.162
Ca4 0.917 0.917 0.598
As1 0.069 0.069 0.935
As2 0.330 0.330 0.372
As3 0.670 0.670 0.628
As4 0.931 0.931 0.065
Au1 0.418 0.418 0.185
Au2 0.582 0.582 0.815

Properties
Size of the total moment ... 0.000 μB/cell
ΔH_f (0 K) ... -876 meV per atom
D(E_F) ... 0.6 states/eV per cell